Record 1
VASP calculation (PBE) on a geometry-optimized Sc5Al2Sn structure.

Output
* Fermi-level density of states: 0.8800 states/eV per atom
* crystal system: tetragonal
* energy of formation: -448.0 meV per atom
* symmetry: I4/mcm (140)

a b c (Å): 8.1093 8.1093 8.1093
angles (deg): 123.85 123.85 83.46
Fractional coordinates of all 16 atoms:
Sc 0.0000 0.0000 0.0000
Sc 0.0075 0.5075 0.8136
Sc 0.1938 0.0075 0.5000
Sc 0.3062 0.8062 0.8136
Sc 0.4925 0.3062 0.5000
Sc 0.5000 0.5000 0.0000
Sc 0.5075 0.6938 0.5000
Sc 0.6938 0.1938 0.1864
Sc 0.8062 0.9925 0.5000
Sc 0.9925 0.4925 0.1864
Al 0.1365 0.3635 0.5000
Al 0.3635 0.8635 0.2269
Al 0.6365 0.1365 0.7731
Al 0.8635 0.6365 0.5000
Sn 0.2500 0.2500 0.0000
Sn 0.7500 0.7500 0.0000

=====

Record 2
VASP calculation (PBE) on a geometry-optimized AlRh2Cl structure.

Output
* Fermi-level density of states: 0.7906 states/eV per atom
* crystal system: monoclinic
* E above lowest polymorph: 0.000 eV per atom
* symmetry: P2/m (10)

a b c (Å): 3.0596 2.9283 7.0476
angles (deg): 90.00 90.25 90.00
Fractional coordinates of all 4 atoms:
Al 0.0000 0.0000 0.0000
Rh 0.4983 0.5000 0.7962
Rh 0.5017 0.5000 0.2038
Cl 0.5000 0.0000 0.5000